! Hf4Zn5Cu2 (GGA-PBE, optimized geometry); values from VASP
&SYSTEM
  ibrav = 0, nat = 11, ntyp = 3
/
ATOMIC_SPECIES
Hf 178.49 Hf.upf
Zn 65.41 Zn.upf
Cu 63.55 Cu.upf
ATOMIC_POSITIONS crystal
Hf 0.1512 0.0000 0.3820
Hf 0.2737 0.0000 0.9503
Hf 0.7263 0.0000 0.0497
Hf 0.8488 0.0000 0.6180
Zn 0.2044 0.5000 0.6661
Zn 0.4345 0.5000 0.2096
Zn 0.5000 0.5000 0.5000
Zn 0.5655 0.5000 0.7904
Zn 0.7956 0.5000 0.3339
Cu 0.0563 0.5000 0.1351
Cu 0.9437 0.5000 0.8649
CELL_PARAMETERS angstrom
6.9669 0.0000 0.0000
0.0000 2.9482 0.0000
-0.6478 0.0000 9.1089
! * total moment: 0.00 μB per atom
! * symmetry: P2/m, No. 10
! * calculated total energy: -5.0687 eV per atom
! * formation energy: -0.1255 eV per atom